First-principles (GGA-PBE) data for RbSe after structural relaxation, as listed in Alexandria.

Output
VASP energy, eV/cell: -24.97
SG: No. 12
Uncorrected formation energy, eV/atom: -0.8957

Structure (extended XYZ):
```
8
Lattice="5.340 0.000 0.000 0.000 4.799 0.000 -2.819 0.000 12.007" Properties=species:S:1:pos:R:3 pbc="T T T"
Rb -1.109 0.000 10.506
Rb 3.630 0.000 1.501
Rb 0.301 2.400 4.502
Rb 2.221 2.400 7.505
Se 3.210 0.000 5.022
Se -0.689 0.000 6.985
Se 1.801 2.400 11.026
Se 0.721 2.400 0.982
```